1.
DFT (GGA-PBE) results for a relaxed AcPuOs crystal.

Geometry as POSCAR:
```
AcPuOs
1.0
7.698 0.000 0.000
0.000 5.868 2.663
0.000 -0.058 7.470
Ac Pu Os
4 4 4
Direct
0.160 0.763 0.921
0.340 0.763 0.421
0.840 0.237 0.079
0.660 0.237 0.579
0.653 0.752 0.070
0.347 0.248 0.930
0.153 0.248 0.430
0.847 0.752 0.570
0.568 0.604 0.794
0.432 0.396 0.206
0.932 0.604 0.294
0.068 0.396 0.706
```

Output
calculated formation energy: 0.092 eV/atom
crystal system: monoclinic
calculated total energy: -9.798 eV/atom
distance to the lowest polymorph of the same formula: 0.000 eV per atom
total magnetization: 22.0 μB per cell

=====

2.
DFT (GGA-PBE) results for a relaxed NaZn2Hg2 crystal.

Geometry as POSCAR:
```
NaZn2Hg2
1.0
4.850 0.000 0.000
0.000 4.850 0.000
2.425 2.425 5.072
Na Zn Hg
1 2 2
Direct
0.000 0.000 0.000
0.379 0.379 0.243
0.621 0.621 0.757
0.750 0.250 0.500
0.250 0.750 0.500
```

Output
calculated formation energy: -0.023 eV/atom
crystal system: tetragonal
calculated total energy: -0.917 eV/atom
distance to the lowest polymorph of the same formula: 0.019 eV per atom
total magnetization: 0.0 μB per cell

=====

3.
DFT (GGA-PBE) results for a relaxed Tb9Er2Sc crystal.

Geometry as POSCAR:
```
Tb9Er2Sc
1.0
4.993 0.000 0.000
0.000 4.993 0.000
0.000 0.000 14.936
Tb Er Sc
9 2 1
Direct
0.500 0.500 0.000
0.500 0.500 0.331
0.500 0.500 0.669
0.500 0.000 0.163
0.500 0.000 0.500
0.500 0.000 0.837
0.000 0.500 0.163
0.000 0.500 0.500
0.000 0.500 0.837
0.000 0.000 0.332
0.000 0.000 0.668
0.000 0.000 0.000
```

Output
calculated formation energy: 0.027 eV/atom
crystal system: tetragonal
calculated total energy: -4.734 eV/atom
total magnetization: 0.0 μB per cell

=====

4.
DFT (GGA-PBE) results for a relaxed Cs2AcNpSe4 crystal.

Geometry as POSCAR:
```
Cs2AcNpSe4
1.0
4.500 0.000 0.000
0.000 7.802 0.137
0.000 -2.746 8.363
Cs Ac Np Se
2 1 1 4
Direct
0.500 0.000 0.500
0.000 0.500 0.500
0.000 0.000 0.000
0.500 0.500 0.000
0.500 0.245 0.195
0.500 0.755 0.805
0.000 0.285 0.813
0.000 0.715 0.187
```

Output
crystal system: monoclinic
calculated total energy: -5.582 eV/atom
total magnetization: 4.0 μB per cell

=====

5.
DFT (GGA-PBE) results for a relaxed CoHN crystal.

Geometry as POSCAR:
```
CoHN
1.0
3.312 0.000 0.000
0.000 3.174 0.000
0.000 0.000 5.156
Co H N
2 2 2
Direct
0.500 0.000 0.848
0.500 0.500 0.348
0.000 0.000 0.854
0.000 0.500 0.354
0.500 0.000 0.509
0.500 0.500 0.009
```

Output
crystal system: orthorhombic
calculated total energy: -5.877 eV/atom
distance to the lowest polymorph of the same formula: 0.215 eV per atom
total magnetization: 0.0 μB per cell